Record 1
Below is BaMgCd4 at its PBEsol-relaxed geometry, with properties calculated at the meta-GGA SCAN level.

Cell lengths 6.022, 6.022, 6.022 Å; angles 60.00, 60.00, 60.00 degrees
Positions (direct):
Mg1 0.750 0.750 0.750
Ba1 0.000 0.000 0.000
Cd1 0.375 0.375 0.375
Cd2 0.375 0.375 0.874
Cd3 0.874 0.375 0.375
Cd4 0.375 0.874 0.375

## Properties
Its formation enthalpy at 0 K is -190.9 meV/atom. The density of states at the Fermi level comes out at 3.2 states/eV/f.u. The value obtained for the uncorrected energy is -167.33 eV for the cell shown.

***

Record 2
Below is Ba2MgCd2 at its PBEsol-relaxed geometry, with properties calculated at the meta-GGA SCAN level.

Cell lengths 5.250, 8.131, 8.131 Å; angles 90.00, 90.00, 90.00 degrees
Positions (direct):
Mg1 0.000 0.000 0.000
Mg2 0.000 0.500 0.500
Ba1 0.500 0.179 0.679
Ba2 0.500 0.679 0.821
Ba3 0.500 0.821 0.321
Ba4 0.500 0.321 0.179
Cd1 0.000 0.374 0.874
Cd2 0.000 0.874 0.626
Cd3 0.000 0.626 0.126
Cd4 0.000 0.126 0.374

## Properties
Its formation enthalpy at 0 K is -226.6 meV/atom. The density of states at the Fermi level comes out at 4.9 states/eV/f.u. The value obtained for the uncorrected energy is -292.07 eV for the cell shown.

***

Record 3
Below is BaMgCdN2 at its PBEsol-relaxed geometry, with properties calculated at the meta-GGA SCAN level.

Cell lengths 4.341, 4.341, 5.477 Å; angles 90.00, 90.00, 90.00 degrees
Each line ends with the local moment (μB).
Positions (direct):
Mg1 0.000 0.000 0.000  -0.02
N1 0.000 0.500 0.000  0.81
N2 0.500 0.000 0.000  0.81
Ba1 0.000 0.000 0.500  -0.09
Cd1 0.500 0.500 0.500  0.00

## Properties
The density of states at the Fermi level comes out at 1.0 states/eV/f.u. The value obtained for the uncorrected energy is -88.44 eV for the cell shown. The value obtained for the raw formation energy is 1016 meV/atom.

***

Record 4
Below is BaMn2Cd at its PBEsol-relaxed geometry, with properties calculated at the meta-GGA SCAN level.

Cell lengths 5.179, 5.179, 5.179 Å; angles 60.00, 60.00, 60.00 degrees
Each line ends with the local moment (μB).
Positions (direct):
Ba1 0.500 0.500 0.500  -0.01
Cd1 0.750 0.750 0.750  -0.04
Mn1 0.000 0.000 0.000  4.42
Mn2 0.250 0.250 0.250  4.37

## Properties
Its formation enthalpy at 0 K is 314.3 meV/atom. The density of states at the Fermi level comes out at 4.1 states/eV/f.u. The value obtained for the uncorrected energy is -105.22 eV for the cell shown.

***

Record 5
Below is BaMn2Cd at its PBEsol-relaxed geometry, with properties calculated at the meta-GGA SCAN level.

Cell lengths 4.449, 4.449, 6.472 Å; angles 69.90, 69.90, 60.00 degrees
Each line ends with the local moment (μB).
Positions (direct):
Ba1 0.496 0.496 0.513  -0.02
Cd1 0.303 0.303 0.091  0.00
Mn1 0.015 0.015 0.956  3.89
Mn2 0.687 0.687 0.940  -3.90

## Properties
Its formation enthalpy at 0 K is -70.5 meV/atom. The density of states at the Fermi level comes out at 2.4 states/eV/f.u. The value obtained for the uncorrected energy is -106.76 eV for the cell shown.

***

Record 6
Below is Ba2MnCd at its PBEsol-relaxed geometry, with properties calculated at the meta-GGA SCAN level.

Cell lengths 4.794, 4.963, 6.590 Å; angles 112.12, 90.00, 90.00 degrees
Each line ends with the local moment (μB).
Positions (direct):
Ba1 0.000 0.102 0.204  -0.09
Ba2 0.500 0.393 0.786  -0.08
Cd1 0.000 0.806 0.612  -0.05
Mn1 0.500 0.697 0.394  4.24

## Properties
Its formation enthalpy at 0 K is -20.7 meV/atom. The density of states at the Fermi level comes out at 5.2 states/eV/f.u. The value obtained for the uncorrected energy is -127.85 eV for the cell shown.

***

Record 7
Below is BaMn2Cd at its PBEsol-relaxed geometry, with properties calculated at the meta-GGA SCAN level.

Cell lengths 3.247, 3.247, 10.074 Å; angles 80.73, 80.73, 60.00 degrees
Each line ends with the local moment (μB).
Positions (direct):
Ba1 0.500 0.500 0.500  -0.24
Cd1 0.000 0.000 0.000  -0.08
Mn1 0.262 0.262 0.215  4.17
Mn2 0.738 0.738 0.785  4.17

## Properties
Its formation enthalpy at 0 K is 492.6 meV/atom. The density of states at the Fermi level comes out at 2.6 states/eV/f.u. The value obtained for the uncorrected energy is -104.50 eV for the cell shown.

***

Record 8
Below is BaMnCd at its PBEsol-relaxed geometry, with properties calculated at the meta-GGA SCAN level.

Cell lengths 5.215, 5.215, 5.215 Å; angles 60.00, 60.00, 60.00 degrees
Each line ends with the local moment (μB).
Positions (direct):
Ba1 0.500 0.500 0.500  -0.09
Cd1 0.250 0.250 0.250  -0.08
Mn1 0.000 0.000 0.000  4.42

## Properties
Its formation enthalpy at 0 K is 232.0 meV/atom. The density of states at the Fermi level comes out at 2.5 states/eV/f.u. The value obtained for the uncorrected energy is -87.52 eV for the cell shown.

***

Record 9
Below is BaCdMo2 at its PBEsol-relaxed geometry, with properties calculated at the meta-GGA SCAN level.

Cell lengths 3.685, 3.685, 7.207 Å; angles 90.00, 90.00, 90.00 degrees
Positions (direct):
Ba1 0.500 0.500 0.000
Cd1 0.500 0.500 0.500
Mo1 0.000 0.000 0.649
Mo2 0.000 0.000 0.351

## Properties
Its formation enthalpy at 0 K is 822.3 meV/atom. The density of states at the Fermi level comes out at 3.1 states/eV/f.u. The value obtained for the uncorrected energy is -136.45 eV for the cell shown.

***

Record 10
Below is Ba2CdMoO6 at its PBEsol-relaxed geometry, with properties calculated at the meta-GGA SCAN level.

Cell lengths 5.885, 5.885, 5.885 Å; angles 60.00, 60.00, 60.00 degrees
Positions (direct):
Mo1 0.500 0.500 0.500
Ba1 0.750 0.750 0.750
Ba2 0.250 0.250 0.250
O1 0.730 0.270 0.730
O2 0.270 0.730 0.270
O3 0.730 0.730 0.270
O4 0.270 0.730 0.730
O5 0.270 0.270 0.730
O6 0.730 0.270 0.270
Cd1 0.000 0.000 0.000

## Properties
The density of states at the Fermi level comes out at 0.0 states/eV/f.u. The value obtained for the uncorrected energy is -206.82 eV for the cell shown. The value obtained for the raw formation energy is -2503 meV/atom.

***

Record 11
Below is BaZrCd2Mo at its PBEsol-relaxed geometry, with properties calculated at the meta-GGA SCAN level.

Cell lengths 5.084, 5.524, 5.524 Å; angles 90.00, 90.00, 90.00 degrees
Each line ends with the local moment (μB).
Positions (direct):
Mo1 0.500 0.000 0.000  2.59
Ba1 0.000 0.000 0.000  0.06
Zr1 0.500 0.500 0.500  -0.94
Cd1 0.000 0.000 0.500  0.01
Cd2 0.000 0.500 0.000  0.01

## Properties
Its formation enthalpy at 0 K is 2007.6 meV/atom. The density of states at the Fermi level comes out at 3.5 states/eV/f.u. The value obtained for the uncorrected energy is -155.93 eV for the cell shown.

***

Record 12
Below is Ba3CdN at its PBEsol-relaxed geometry, with properties calculated at the meta-GGA SCAN level.

Cell lengths 5.553, 5.553, 5.553 Å; angles 90.00, 90.00, 90.00 degrees
Positions (direct):
Cd1 0.500 0.500 0.500
Ba1 0.000 0.500 0.000
Ba2 0.000 0.000 0.500
Ba3 0.500 0.000 0.000
N1 0.000 0.000 0.000

## Properties
The density of states at the Fermi level comes out at 5.6 states/eV/f.u. The value obtained for the uncorrected energy is -160.26 eV for the cell shown. The value obtained for the raw formation energy is -380 meV/atom.

***

Record 13
Below is BaScCd2N at its PBEsol-relaxed geometry, with properties calculated at the meta-GGA SCAN level.

Cell lengths 5.310, 5.310, 6.626 Å; angles 90.00, 90.00, 90.00 degrees
Each line ends with the local moment (μB).
Positions (direct):
Sc1 0.000 0.000 0.000  -0.01
N1 0.500 0.500 0.500  1.57
Ba1 0.000 0.000 0.500  0.02
Cd1 0.000 0.500 0.000  -0.02
Cd2 0.500 0.000 0.000  -0.02

## Properties
The density of states at the Fermi level comes out at 5.1 states/eV/f.u. The value obtained for the uncorrected energy is -117.36 eV for the cell shown. The value obtained for the raw formation energy is 1309 meV/atom.

***

Record 14
Below is Ba2NaCd2 at its PBEsol-relaxed geometry, with properties calculated at the meta-GGA SCAN level.

Cell lengths 4.578, 9.112, 9.112 Å; angles 90.00, 90.00, 90.00 degrees
Positions (direct):
Na1 0.000 0.000 0.000
Na2 0.000 0.500 0.500
Ba1 0.500 0.168 0.668
Ba2 0.500 0.668 0.832
Ba3 0.500 0.832 0.332
Ba4 0.500 0.332 0.168
Cd1 0.000 0.376 0.876
Cd2 0.000 0.876 0.624
Cd3 0.000 0.624 0.124
Cd4 0.000 0.124 0.376

## Properties
Its formation enthalpy at 0 K is -257.7 meV/atom. The density of states at the Fermi level comes out at 4.6 states/eV/f.u. The value obtained for the uncorrected energy is -290.87 eV for the cell shown.